DFT (GGA+U) results for a relaxed structure of CoRuNF2.

For the energy above the most stable polymorph in this dataset, the calculation gives 294 meV per atom. As for the total energy: -25.51 eV per cell. As for the space group: No. 123.

Geometry as POSCAR:
```
CoRuNF2
1.0
4.055 0.000 0.000
0.000 4.055 0.000
0.000 0.000 3.565
Ru N Co F
1 1 1 2
Direct
0.500 0.500 0.500
0.000 0.000 0.500
0.000 0.000 0.000
0.000 0.500 0.000
0.500 0.000 0.000
```